NaLuSnPt: optimized geometry, PBE.

Cell lengths 4.955, 4.955, 4.955 Å; angles 60.00, 60.00, 60.00 degrees
Fractional coordinates of all 4 atoms:
Na (0.750, 0.750, 0.750)
Lu (0.250, 0.250, 0.250)
Sn (0.000, 0.000, 0.000)
Pt (0.500, 0.500, 0.500)

Its energy above the most stable polymorph in this dataset is 174.9 meV per atom. As for the calculated total energy: -17.9 eV per formula unit. As for the volume: 21.5 Å³ per atom. As for the magnetic moment: 0.000 μB per atom. The space-group type is F-43m.